VASP calculation (PBE) on a relaxed structure of AlTcGe2Ir.

Cell lengths 4.618, 4.458, 4.618 Å; angles 90.00, 90.00, 90.00 degrees
Last column: magnetic moment on the atom in μB.
Sites, in units of the cell vectors:
Ge: 0.500 0.000 0.000  -0.01
Ge: 0.000 0.000 0.500  0.00
Tc: 0.000 0.500 0.000  1.25
Ir: 0.500 0.500 0.500  0.14
Al: 0.000 0.000 0.000  -0.01

Values from the calculation:
Formation energy: 1.369 eV per atom
Total magnetization: 1.5 Bohr magnetons per cell


VASP calculation (PBE) on a relaxed structure of TaInRe2.

Cell lengths 5.397, 5.397, 4.509 Å; angles 65.35, 65.35, 34.95 degrees
Sites, in units of the cell vectors:
Re: 0.989 0.989 0.012
Re: 0.254 0.254 0.246
Ta: 0.512 0.512 0.488
In: 0.745 0.745 0.755

Values from the calculation:
Formation energy: 0.218 eV per atom
Total magnetization: 0.0 Bohr magnetons per cell


VASP calculation (PBE) on a relaxed structure of TlMoP2.

Cell lengths 9.339, 9.339, 9.339 Å; angles 18.85, 18.85, 18.85 degrees
Sites, in units of the cell vectors:
Mo: 0.731 0.731 0.731
Tl: 0.491 0.491 0.491
P: 0.276 0.276 0.276
P: 0.002 0.002 0.002

Values from the calculation:
Excess energy over the best structure of this formula in the dataset: 461 meV per atom
Formation energy: 0.372 eV per atom
Total magnetization: 0.0 Bohr magnetons per cell